Entry a
A relaxed HfMo4W crystal. Source: Alexandria, functional PBE.

Computed properties:
Mass density   12.5 g/cm3
Magnetic moment   0.0000 μB per atom
Space-group type   C2/m, No. 12
DOS at the Fermi energy   2.77 states/eV per cell

Structure (extended XYZ):
```
6
Lattice="3.1023 -0.0006 -0.7869 -1.9961 4.7610 -1.3648 0.1177 -0.6783 6.9735" Properties=species:S:1:pos:R:3 pbc="T T T"
Hf -0.3871 4.4073 1.7468
Mo -1.3676 4.1720 4.3903
Mo 0.5934 4.6427 -0.8966
Mo 1.1063 2.0865 1.1278
Mo 0.1155 1.9672 3.7308
W 2.1032 2.3657 -1.4509
```



Entry b
A relaxed HfMo4W crystal. Source: Alexandria, functional PBE.

Computed properties:
Mass density   11.9 g/cm3
Magnetic moment   0.0000 μB per atom
Space-group type   F-43m, No. 216
DOS at the Fermi energy   5.53 states/eV per cell

Structure (extended XYZ):
```
6
Lattice="-0.4015 -0.5550 5.2285 1.9779 -4.2828 2.3564 4.2952 0.4056 3.0321" Properties=species:S:1:pos:R:3 pbc="T T T"
Mo 1.5249 -2.9714 5.1200
Mo 2.6813 -0.6319 5.4571
Mo 3.6683 -2.7690 6.6330
Mo 3.8687 -2.4921 4.0239
Hf 0.0000 0.0000 0.0000
W 1.4679 -1.1080 2.6543
```



The data favor entry a; the next most stable structure lies 18.2 kJ/mol of atoms above it.



Entry a
A relaxed Y3HfMo crystal. Source: Alexandria, functional PBE.

Computed properties:
Mass density   5.8 g/cm3
Magnetic moment   0.0029 μB per atom
Space-group type   Pm-3m, No. 221
DOS at the Fermi energy   11.93 states/eV per cell

Structure (extended XYZ):
```
5
Lattice="5.3632 0.0000 0.0000 0.0000 5.3632 0.0000 0.0000 0.0000 5.3632" Properties=species:S:1:pos:R:3 pbc="T T T"
Y 0.0000 2.6816 0.0000
Y 0.0000 0.0000 2.6816
Y 2.6816 0.0000 0.0000
Mo 2.6816 2.6816 2.6816
Hf 0.0000 0.0000 0.0000
```



Entry b
A relaxed Y3HfMo crystal. Source: Alexandria, functional PBE.

Computed properties:
Mass density   6.0 g/cm3
Magnetic moment   0.2750 μB per atom
Space-group type   Pm-3m, No. 221
DOS at the Fermi energy   6.18 states/eV per cell

Structure (extended XYZ):
```
5
Lattice="-2.5500 -2.2368 4.0825 4.2371 -3.0430 0.9794 1.9278 3.7295 3.2476" Properties=species:S:1:pos:R:3 pbc="T T T"
Y 2.1186 -1.5215 0.4897
Y 0.9639 1.8647 1.6238
Y -1.2750 -1.1184 2.0412
Mo 0.0000 0.0000 0.0000
Hf 1.8075 -0.7752 4.1547
```



The data favor entry b; the next most stable structure lies 77.8 kJ/mol of atoms above it.



Entry a
A relaxed Hf3ZnMo crystal. Source: Alexandria, functional PBE.

Computed properties:
Mass density   10.3 g/cm3
Magnetic moment   0.0000 μB per atom
Space-group type   Pm-3m, No. 221
DOS at the Fermi energy   12.78 states/eV per cell

Structure (extended XYZ):
```
5
Lattice="-0.4484 4.2508 2.2404 -4.3847 0.5585 -1.9372 -1.9656 -2.2156 3.8102" Properties=species:S:1:pos:R:3 pbc="T T T"
Mo -3.3994 1.2969 2.0567
Hf -2.1923 0.2792 -0.9686
Hf -0.9828 -1.1078 1.9051
Hf -0.2242 2.1254 1.1202
Zn 0.0000 0.0000 0.0000
```



Entry b
A relaxed Hf3ZnMo crystal. Source: Alexandria, functional PBE.

Computed properties:
Mass density   9.2 g/cm3
Magnetic moment   0.0000 μB per atom
Space-group type   Pm-3m, No. 221
DOS at the Fermi energy   7.05 states/eV per cell

Structure (extended XYZ):
```
5
Lattice="5.0114 0.0000 0.0000 0.0000 5.0114 0.0000 0.0000 0.0000 5.0114" Properties=species:S:1:pos:R:3 pbc="T T T"
Mo 0.0000 0.0000 0.0000
Hf 0.0000 2.5057 0.0000
Hf 0.0000 0.0000 2.5057
Hf 2.5057 0.0000 0.0000
Zn 2.5057 2.5057 2.5057
```



The data favor entry b; the next most stable structure lies 19.9 kJ/mol of atoms above it.



Entry a
A relaxed HfZn2Mo2 crystal. Source: Alexandria, functional PBE.

Computed properties:
Mass density   9.2 g/cm3
Magnetic moment   0.0000 μB per atom
Space-group type   I4/mmm, No. 139
DOS at the Fermi energy   2.17 states/eV per cell

Structure (extended XYZ):
```
5
Lattice="-1.5750 -2.7576 2.3236 -2.3022 -1.1827 -2.9640 2.1925 -5.7593 -2.0169" Properties=species:S:1:pos:R:3 pbc="T T T"
Mo -1.1564 -2.6876 -0.6415
Mo -0.5283 -7.0120 -2.0159
Hf 0.0000 0.0000 0.0000
Zn -0.6605 -5.2435 -0.0068
Zn -1.0241 -4.4560 -2.6506
```



Entry b
A relaxed HfZn2Mo2 crystal. Source: Alexandria, functional PBE.

Computed properties:
Mass density   10.3 g/cm3
Magnetic moment   0.0000 μB per atom
Space-group type   P4/mbm, No. 127
DOS at the Fermi energy   8.69 states/eV per cell

Structure (extended XYZ):
```
10
Lattice="6.8960 0.0000 0.0000 0.0000 6.8960 0.0000 0.0000 0.0000 3.4142" Properties=species:S:1:pos:R:3 pbc="T T T"
Mo 1.2195 4.6675 1.7071
Mo 4.6675 5.6765 1.7071
Mo 5.6765 2.2285 1.7071
Mo 2.2285 1.2195 1.7071
Hf 0.0000 0.0000 0.0000
Hf 3.4480 3.4480 0.0000
Zn 2.6071 6.0551 0.0000
Zn 6.0551 4.2890 0.0000
Zn 4.2890 0.8410 0.0000
Zn 0.8410 2.6071 0.0000
```



The data favor entry b; the next most stable structure lies 22.3 kJ/mol of atoms above it.



Entry a
A relaxed HfZn2Mo crystal. Source: Alexandria, functional PBE.

Computed properties:
Mass density   9.5 g/cm3
Magnetic moment   0.0000 μB per atom
Space-group type   I-42d, No. 122
DOS at the Fermi energy   3.97 states/eV per cell

Structure (extended XYZ):
```
8
Lattice="7.2515 0.0000 0.0000 0.0000 7.2515 0.0000 3.6258 3.6258 2.6802" Properties=species:S:1:pos:R:3 pbc="T T T"
Mo 3.6258 3.6258 0.0000
Mo 3.6258 7.2515 1.3401
Hf 0.0000 0.0000 0.0000
Hf 7.2515 3.6258 1.3401
Zn 5.3185 1.8129 0.6700
Zn 1.9330 5.4386 0.6700
Zn 5.4386 5.5588 2.0101
Zn 9.0644 8.9442 2.0101
```



Entry b
A relaxed HfZn2Mo crystal. Source: Alexandria, functional PBE.

Computed properties:
Mass density   10.3 g/cm3
Magnetic moment   0.0001 μB per atom
Space-group type   Fm-3m, No. 225
DOS at the Fermi energy   3.92 states/eV per cell

Structure (extended XYZ):
```
4
Lattice="3.7509 -2.5069 0.2436 -0.2974 -4.4410 0.7760 0.9710 -2.9385 -3.2917" Properties=species:S:1:pos:R:3 pbc="T T T"
Mo 0.0000 0.0000 0.0000
Hf 2.2122 -4.9431 -1.1360
Zn 1.1061 -2.4716 -0.5680
Zn 3.3183 -7.4147 -1.7041
```



Entry c
A relaxed HfZn2Mo crystal. Source: Alexandria, functional PBE.

Computed properties:
Mass density   10.3 g/cm3
Magnetic moment   0.0000 μB per atom
Space-group type   P4/mmm, No. 123
DOS at the Fermi energy   2.44 states/eV per cell

Structure (extended XYZ):
```
4
Lattice="-1.8940 -1.3852 3.2609 3.2531 -2.1722 0.9668 1.4298 3.0963 2.1458" Properties=species:S:1:pos:R:3 pbc="T T T"
Mo -0.9470 -0.6926 1.6304
Hf 1.3944 -0.2305 3.1867
Zn 0.7149 1.5482 1.0729
Zn 1.6266 -1.0861 0.4834
```



The data favor entry c; the next most stable structure lies 13.6 kJ/mol of atoms above it.



Entry a
A relaxed Hf2ZnMo crystal. Source: Alexandria, functional PBE.

Computed properties:
Mass density   11.8 g/cm3
Magnetic moment   0.0000 μB per atom
Space-group type   P4/mmm, No. 123
DOS at the Fermi energy   3.29 states/eV per cell

Structure (extended XYZ):
```
4
Lattice="-1.6895 -0.3541 -2.9954 2.4099 -3.7969 -0.9105 -3.1965 -2.5329 2.1024" Properties=species:S:1:pos:R:3 pbc="T T T"
Mo -1.2381 -3.3420 -0.9017
Hf -1.5982 -1.2665 1.0512
Hf 1.2049 -1.8985 -0.4552
Zn -0.8448 -0.1770 -1.4977
```



Entry b
A relaxed Hf2ZnMo crystal. Source: Alexandria, functional PBE.

Computed properties:
Mass density   10.9 g/cm3
Magnetic moment   0.0000 μB per atom
Space-group type   I-42d, No. 122
DOS at the Fermi energy   6.04 states/eV per cell

Structure (extended XYZ):
```
8
Lattice="4.0142 0.0000 0.0000 0.0000 4.0142 0.0000 2.0071 2.0071 9.7755" Properties=species:S:1:pos:R:3 pbc="T T T"
Mo 0.0000 0.0000 0.0000
Mo 4.0142 2.0071 4.8878
Hf 3.0373 1.0036 2.4439
Hf 0.9769 3.0107 2.4439
Hf 3.0107 2.9840 7.3317
Hf 5.0178 5.0445 7.3317
Zn 2.0071 2.0071 0.0000
Zn 2.0071 4.0142 4.8878
```



Entry c
A relaxed Hf2ZnMo crystal. Source: Alexandria, functional PBE.

Computed properties:
Mass density   11.0 g/cm3
Magnetic moment   0.0000 μB per atom
Space-group type   Immm, No. 71
DOS at the Fermi energy   2.08 states/eV per cell

Structure (extended XYZ):
```
4
Lattice="5.0820 -1.5756 -3.0540 -1.5544 5.0885 3.0540 -3.5614 0.0487 4.9950" Properties=species:S:1:pos:R:3 pbc="T T T"
Hf -1.2658 1.2711 1.9915
Hf -3.8501 3.8661 6.0575
Zn 0.0000 0.0000 0.0000
Mo -2.5579 2.5686 4.0245
```



Entry d
A relaxed Hf2ZnMo crystal. Source: Alexandria, functional PBE.

Computed properties:
Mass density   11.1 g/cm3
Magnetic moment   0.0000 μB per atom
Space-group type   R-3m, No. 166
DOS at the Fermi energy   2.30 states/eV per cell

Structure (extended XYZ):
```
4
Lattice="-1.6151 -1.9235 2.0559 -0.2211 -3.1840 -0.5905 6.5567 -3.0168 4.8906" Properties=species:S:1:pos:R:3 pbc="T T T"
Mo 0.0000 0.0000 0.0000
Hf 1.1047 -2.0173 1.5427
Hf 3.6157 -6.1071 4.8133
Zn 2.3602 -4.0622 3.1780
```



The data favor entry a; the next most stable structure lies 18.8 kJ/mol of atoms above it.